A relaxed structure of KFe2CuOs. Source: the Alexandria database, functional PBE.

Properties
Volume   15.4 A^3/atom
Energy of formation from the pure elements   2.937 eV per atom

abc: 4.1444 4.1444 4.4759
angles: 90.00 90.00 90.00
Space group P4/mmm (No. 123)
Unique sites:
K: 0.0000 0.0000 0.0000
Fe: 0.0000 0.5000 0.0000
Cu: 0.0000 0.0000 0.5000
Os: 0.5000 0.5000 0.5000